No. 1
# Lu2ThIn | Alexandria via LeMat-Bulk | PBE | optimized geometry
data_Lu2ThIn
_chemical_formula_sum 'Lu2 Th1 In1'
_cell_length_a 3.5339
_cell_length_b 3.5339
_cell_length_c 8.9595
_cell_angle_alpha 90.00
_cell_angle_beta 90.00
_cell_angle_gamma 90.00
_space_group_name_H-M_alt 'P 4/m m m'
_space_group_IT_number 123
_space_group_name_Hall '-P 4 2'
loop_
_atom_site_label
_atom_site_type_symbol
_atom_site_fract_x
_atom_site_fract_y
_atom_site_fract_z
Lu1 Lu 0.0000 0.0000 0.2307
Th1 Th 0.5000 0.5000 0.5000
In1 In 0.5000 0.5000 0.0000
# Energy of formation (kJ/mol of atoms): -23
# Electronic total energy (eV/atom): -5.04
# Excess energy over the best structure of this formula in the dataset (meV/atom): 0

No. 2
# LuThIn | Alexandria via LeMat-Bulk | PBE | optimized geometry
data_LuThIn
_chemical_formula_sum 'Lu1 Th1 In1'
_cell_length_a 5.2900
_cell_length_b 5.2900
_cell_length_c 3.6227
_cell_angle_alpha 90.00
_cell_angle_beta 90.00
_cell_angle_gamma 120.00
_space_group_name_H-M_alt 'P 3 m 1'
_space_group_IT_number 156
loop_
_space_group_symop_operation_xyz
'x,y,z'
'-y,x-y,z'
'-x+y,-x,z'
'-y,-x,z'
'-x+y,y,z'
'x,x-y,z'
loop_
_atom_site_label
_atom_site_type_symbol
_atom_site_fract_x
_atom_site_fract_y
_atom_site_fract_z
Lu1 Lu 0.0000 0.0000 0.0000
Th1 Th 0.6667 0.3333 0.4636
In1 In 0.3333 0.6667 0.8697
# Energy of formation (kJ/mol of atoms): -8
# Electronic total energy (eV/atom): -4.98
# Excess energy over the best structure of this formula in the dataset (meV/atom): 119

No. 3
# Lu2ThIn | Alexandria via LeMat-Bulk | PBE | optimized geometry
data_Lu2ThIn
_chemical_formula_sum 'Lu2 Th1 In1'
_cell_length_a 4.8611
_cell_length_b 4.8611
_cell_length_c 4.7621
_cell_angle_alpha 90.00
_cell_angle_beta 90.00
_cell_angle_gamma 90.00
_space_group_name_H-M_alt 'P 4/m m m'
_space_group_IT_number 123
_space_group_name_Hall '-P 4 2'
loop_
_atom_site_label
_atom_site_type_symbol
_atom_site_fract_x
_atom_site_fract_y
_atom_site_fract_z
Lu1 Lu 0.0000 0.5000 0.0000
Th1 Th 0.0000 0.0000 0.5000
In1 In 0.5000 0.5000 0.5000
# Energy of formation (kJ/mol of atoms): -18
# Electronic total energy (eV/atom): -4.99
# Excess energy over the best structure of this formula in the dataset (meV/atom): 47

No. 4
# LuThIn2 | Alexandria via LeMat-Bulk | PBE | optimized geometry
data_LuThIn2
_chemical_formula_sum 'Lu1 Th1 In2'
_cell_length_a 4.9071
_cell_length_b 4.9071
_cell_length_c 4.5474
_cell_angle_alpha 90.00
_cell_angle_beta 90.00
_cell_angle_gamma 90.00
_space_group_name_H-M_alt 'P 4/m m m'
_space_group_IT_number 123
_space_group_name_Hall '-P 4 2'
loop_
_atom_site_label
_atom_site_type_symbol
_atom_site_fract_x
_atom_site_fract_y
_atom_site_fract_z
Lu1 Lu 0.0000 0.0000 0.0000
Th1 Th 0.5000 0.5000 0.0000
In1 In 0.0000 0.5000 0.5000
# Energy of formation (kJ/mol of atoms): -31
# Electronic total energy (eV/atom): -4.67

No. 5
# LuThIn2 | Alexandria via LeMat-Bulk | PBE | optimized geometry
data_LuThIn2
_chemical_formula_sum 'Lu1 Th1 In2'
_cell_length_a 3.5271
_cell_length_b 3.5271
_cell_length_c 8.6718
_cell_angle_alpha 90.00
_cell_angle_beta 90.00
_cell_angle_gamma 90.00
_space_group_name_H-M_alt 'P 4/m m m'
_space_group_IT_number 123
_space_group_name_Hall '-P 4 2'
loop_
_atom_site_label
_atom_site_type_symbol
_atom_site_fract_x
_atom_site_fract_y
_atom_site_fract_z
Lu1 Lu 0.0000 0.0000 0.0000
Th1 Th 0.0000 0.0000 0.5000
In1 In 0.5000 0.5000 0.2358
# Energy of formation (kJ/mol of atoms): -33
# Electronic total energy (eV/atom): -4.70

No. 6
# Lu2ThIn | Alexandria via LeMat-Bulk | PBE | optimized geometry
data_Lu2ThIn
_chemical_formula_sum 'Lu8 Th4 In4'
_cell_length_a 7.6460
_cell_length_b 7.6460
_cell_length_c 7.6460
_cell_angle_alpha 90.00
_cell_angle_beta 90.00
_cell_angle_gamma 90.00
_space_group_name_H-M_alt 'F m -3 m'
_space_group_IT_number 225
_space_group_name_Hall '-F 4 2 3'
loop_
_atom_site_label
_atom_site_type_symbol
_atom_site_fract_x
_atom_site_fract_y
_atom_site_fract_z
Lu1 Lu 0.2500 0.2500 0.2500
Th1 Th 0.0000 0.0000 0.0000
In1 In 0.0000 0.0000 0.5000
# Energy of formation (kJ/mol of atoms): 1
# Electronic total energy (eV/atom): -4.79
# Excess energy over the best structure of this formula in the dataset (meV/atom): 243

No. 7
# LuThIn2 | Alexandria via LeMat-Bulk | PBE | optimized geometry
data_LuThIn2
_chemical_formula_sum 'Lu3 Th3 In6'
_cell_length_a 3.5352
_cell_length_b 3.5352
_cell_length_c 31.2551
_cell_angle_alpha 90.00
_cell_angle_beta 90.00
_cell_angle_gamma 120.00
_space_group_name_H-M_alt 'R -3 m'
_space_group_IT_number 166
_space_group_name_Hall '-R 3 2"'
loop_
_atom_site_label
_atom_site_type_symbol
_atom_site_fract_x
_atom_site_fract_y
_atom_site_fract_z
Lu1 Lu 0.0000 0.0000 0.0000
Th1 Th 0.0000 0.0000 0.5000
In1 In 0.0000 0.0000 0.2545
# Energy of formation (kJ/mol of atoms): -21
# Electronic total energy (eV/atom): -4.57

No. 8
# LuThIn | Alexandria via LeMat-Bulk | PBE | optimized geometry
data_LuThIn
_chemical_formula_sum 'Lu2 Th2 In2'
_cell_length_a 3.5784
_cell_length_b 3.5784
_cell_length_c 13.6200
_cell_angle_alpha 90.00
_cell_angle_beta 90.00
_cell_angle_gamma 90.00
_space_group_name_H-M_alt 'I 4 m m'
_space_group_IT_number 107
_space_group_name_Hall 'I 4 -2'
loop_
_atom_site_label
_atom_site_type_symbol
_atom_site_fract_x
_atom_site_fract_y
_atom_site_fract_z
Lu1 Lu 0.0000 0.0000 0.0000
Th1 Th 0.0000 0.0000 0.3164
In1 In 0.0000 0.0000 0.6483
# Energy of formation (kJ/mol of atoms): -19
# Electronic total energy (eV/atom): -5.09
# Excess energy over the best structure of this formula in the dataset (meV/atom): 0

No. 9
# LuTiIn2 | Alexandria via LeMat-Bulk | PBE | optimized geometry
data_LuTiIn2
_chemical_formula_sum 'Lu1 Ti1 In2'
_cell_length_a 4.4749
_cell_length_b 4.4749
_cell_length_c 4.4409
_cell_angle_alpha 90.00
_cell_angle_beta 90.00
_cell_angle_gamma 90.00
_space_group_name_H-M_alt 'P 4/m m m'
_space_group_IT_number 123
_space_group_name_Hall '-P 4 2'
loop_
_atom_site_label
_atom_site_type_symbol
_atom_site_fract_x
_atom_site_fract_y
_atom_site_fract_z
Lu1 Lu 0.0000 0.0000 0.0000
Ti1 Ti 0.5000 0.5000 0.0000
In1 In 0.0000 0.5000 0.5000
# Energy of formation (kJ/mol of atoms): -21
# Electronic total energy (eV/atom): -4.69

No. 10
# LuTiIn | Alexandria via LeMat-Bulk | PBE | optimized geometry
data_LuTiIn
_chemical_formula_sum 'Lu1 Ti1 In1'
_cell_length_a 5.0290
_cell_length_b 5.0290
_cell_length_c 3.0641
_cell_angle_alpha 90.00
_cell_angle_beta 90.00
_cell_angle_gamma 120.00
_space_group_name_H-M_alt 'P 3 m 1'
_space_group_IT_number 156
loop_
_space_group_symop_operation_xyz
'x,y,z'
'-y,x-y,z'
'-x+y,-x,z'
'-y,-x,z'
'-x+y,y,z'
'x,x-y,z'
loop_
_atom_site_label
_atom_site_type_symbol
_atom_site_fract_x
_atom_site_fract_y
_atom_site_fract_z
Lu1 Lu 0.0000 0.0000 0.0000
Ti1 Ti 0.3333 0.6667 0.9763
In1 In 0.6667 0.3333 0.4933
# Energy of formation (kJ/mol of atoms): 6
# Electronic total energy (eV/atom): -4.99

No. 11
# LuTiIn2 | Alexandria via LeMat-Bulk | PBE | optimized geometry
data_LuTiIn2
_chemical_formula_sum 'Lu1 Ti1 In2'
_cell_length_a 3.6502
_cell_length_b 3.6502
_cell_length_c 6.7026
_cell_angle_alpha 90.00
_cell_angle_beta 90.00
_cell_angle_gamma 90.00
_space_group_name_H-M_alt 'P 4/m m m'
_space_group_IT_number 123
_space_group_name_Hall '-P 4 2'
loop_
_atom_site_label
_atom_site_type_symbol
_atom_site_fract_x
_atom_site_fract_y
_atom_site_fract_z
Lu1 Lu 0.0000 0.0000 0.0000
Ti1 Ti 0.0000 0.0000 0.5000
In1 In 0.5000 0.5000 0.2742
# Energy of formation (kJ/mol of atoms): -17
# Electronic total energy (eV/atom): -4.65

No. 12
# LuTi4In | Alexandria via LeMat-Bulk | PBE | optimized geometry
data_LuTi4In
_chemical_formula_sum 'Lu4 Ti16 In4'
_cell_length_a 7.8605
_cell_length_b 7.8605
_cell_length_c 7.8605
_cell_angle_alpha 90.00
_cell_angle_beta 90.00
_cell_angle_gamma 90.00
_space_group_name_H-M_alt 'F -4 3 m'
_space_group_IT_number 216
_space_group_name_Hall 'F -4 2 3'
loop_
_atom_site_label
_atom_site_type_symbol
_atom_site_fract_x
_atom_site_fract_y
_atom_site_fract_z
Lu1 Lu 0.0000 0.0000 0.0000
Ti1 Ti 0.1274 0.1274 0.6274
In1 In 0.2500 0.2500 0.2500
# Energy of formation (kJ/mol of atoms): 8
# Electronic total energy (eV/atom): -6.39

No. 13
# LuTiIn2 | Alexandria via LeMat-Bulk | PBE | optimized geometry
data_LuTiIn2
_chemical_formula_sum 'Lu3 Ti3 In6'
_cell_length_a 3.3496
_cell_length_b 3.3496
_cell_length_c 29.0174
_cell_angle_alpha 90.00
_cell_angle_beta 90.00
_cell_angle_gamma 120.00
_space_group_name_H-M_alt 'R -3 m'
_space_group_IT_number 166
_space_group_name_Hall '-R 3 2"'
loop_
_atom_site_label
_atom_site_type_symbol
_atom_site_fract_x
_atom_site_fract_y
_atom_site_fract_z
Lu1 Lu 0.0000 0.0000 0.0000
Ti1 Ti 0.0000 0.0000 0.5000
In1 In 0.0000 0.0000 0.2443
# Energy of formation (kJ/mol of atoms): -7
# Electronic total energy (eV/atom): -4.55

No. 14
# TmLuTiIn | Alexandria via LeMat-Bulk | PBE | optimized geometry
data_TmLuTiIn
_chemical_formula_sum 'Tm4 Lu4 Ti4 In4'
_cell_length_a 7.3167
_cell_length_b 7.3167
_cell_length_c 7.3167
_cell_angle_alpha 90.00
_cell_angle_beta 90.00
_cell_angle_gamma 90.00
_space_group_name_H-M_alt 'F -4 3 m'
_space_group_IT_number 216
_space_group_name_Hall 'F -4 2 3'
loop_
_atom_site_label
_atom_site_type_symbol
_atom_site_fract_x
_atom_site_fract_y
_atom_site_fract_z
Tm1 Tm 0.0000 0.0000 0.0000
Lu1 Lu 0.0000 0.0000 0.5000
Ti1 Ti 0.2500 0.2500 0.2500
In1 In 0.2500 0.2500 0.7500
# Energy of formation (kJ/mol of atoms): -9
# Electronic total energy (eV/atom): -5.00

No. 15
# YLuTiIn | Alexandria via LeMat-Bulk | PBE | optimized geometry
data_YLuTiIn
_chemical_formula_sum 'Y4 Lu4 Ti4 In4'
_cell_length_a 7.3724
_cell_length_b 7.3724
_cell_length_c 7.3724
_cell_angle_alpha 90.00
_cell_angle_beta 90.00
_cell_angle_gamma 90.00
_space_group_name_H-M_alt 'F -4 3 m'
_space_group_IT_number 216
_space_group_name_Hall 'F -4 2 3'
loop_
_atom_site_label
_atom_site_type_symbol
_atom_site_fract_x
_atom_site_fract_y
_atom_site_fract_z
Y1 Y 0.0000 0.0000 0.0000
Lu1 Lu 0.0000 0.0000 0.5000
Ti1 Ti 0.2500 0.2500 0.7500
In1 In 0.2500 0.2500 0.2500
# Energy of formation (kJ/mol of atoms): -10
# Electronic total energy (eV/atom): -5.50

No. 16
# Lu2TlIn | Alexandria via LeMat-Bulk | PBE | optimized geometry
data_Lu2TlIn
_chemical_formula_sum 'Lu2 Tl1 In1'
_cell_length_a 3.5399
_cell_length_b 3.5399
_cell_length_c 8.2320
_cell_angle_alpha 90.00
_cell_angle_beta 90.00
_cell_angle_gamma 90.00
_space_group_name_H-M_alt 'P 4/m m m'
_space_group_IT_number 123
_space_group_name_Hall '-P 4 2'
loop_
_atom_site_label
_atom_site_type_symbol
_atom_site_fract_x
_atom_site_fract_y
_atom_site_fract_z
Lu1 Lu 0.0000 0.0000 0.2475
Tl1 Tl 0.5000 0.5000 0.5000
In1 In 0.5000 0.5000 0.0000
# Energy of formation (kJ/mol of atoms): -32
# Electronic total energy (eV/atom): -3.86

No. 17
# Lu2TlIn | Alexandria via LeMat-Bulk | PBE | optimized geometry
data_Lu2TlIn
_chemical_formula_sum 'Lu8 Tl4 In4'
_cell_length_a 7.4412
_cell_length_b 7.4412
_cell_length_c 7.4412
_cell_angle_alpha 90.00
_cell_angle_beta 90.00
_cell_angle_gamma 90.00
_space_group_name_H-M_alt 'F m -3 m'
_space_group_IT_number 225
_space_group_name_Hall '-F 4 2 3'
loop_
_atom_site_label
_atom_site_type_symbol
_atom_site_fract_x
_atom_site_fract_y
_atom_site_fract_z
Lu1 Lu 0.2500 0.2500 0.2500
Tl1 Tl 0.0000 0.0000 0.0000
In1 In 0.0000 0.0000 0.5000
# Energy of formation (kJ/mol of atoms): -31
# Electronic total energy (eV/atom): -3.86

No. 18
# LuTlIn | Alexandria via LeMat-Bulk | PBE | optimized geometry
data_LuTlIn
_chemical_formula_sum 'Lu1 Tl1 In1'
_cell_length_a 5.0350
_cell_length_b 5.0350
_cell_length_c 3.5439
_cell_angle_alpha 90.00
_cell_angle_beta 90.00
_cell_angle_gamma 120.00
_space_group_name_H-M_alt 'P 3 m 1'
_space_group_IT_number 156
loop_
_space_group_symop_operation_xyz
'x,y,z'
'-y,x-y,z'
'-x+y,-x,z'
'-y,-x,z'
'-x+y,y,z'
'x,x-y,z'
loop_
_atom_site_label
_atom_site_type_symbol
_atom_site_fract_x
_atom_site_fract_y
_atom_site_fract_z
Lu1 Lu 0.0000 0.0000 0.0000
Tl1 Tl 0.3333 0.6667 0.6502
In1 In 0.6667 0.3333 0.4042
# Energy of formation (kJ/mol of atoms): -18
# Electronic total energy (eV/atom): -3.40

No. 19
# TmLuTlIn | Alexandria via LeMat-Bulk | PBE | optimized geometry
data_TmLuTlIn
_chemical_formula_sum 'Tm4 Lu4 Tl4 In4'
_cell_length_a 7.4600
_cell_length_b 7.4600
_cell_length_c 7.4600
_cell_angle_alpha 90.00
_cell_angle_beta 90.00
_cell_angle_gamma 90.00
_space_group_name_H-M_alt 'F -4 3 m'
_space_group_IT_number 216
_space_group_name_Hall 'F -4 2 3'
loop_
_atom_site_label
_atom_site_type_symbol
_atom_site_fract_x
_atom_site_fract_y
_atom_site_fract_z
Tm1 Tm 0.0000 0.0000 0.0000
Lu1 Lu 0.0000 0.0000 0.5000
Tl1 Tl 0.2500 0.2500 0.7500
In1 In 0.2500 0.2500 0.2500
# Energy of formation (kJ/mol of atoms): -33
# Electronic total energy (eV/atom): -3.86

No. 20
# YLuTlIn | Alexandria via LeMat-Bulk | PBE | optimized geometry
data_YLuTlIn
_chemical_formula_sum 'Y4 Lu4 Tl4 In4'
_cell_length_a 7.4989
_cell_length_b 7.4989
_cell_length_c 7.4989
_cell_angle_alpha 90.00
_cell_angle_beta 90.00
_cell_angle_gamma 90.00
_space_group_name_H-M_alt 'F -4 3 m'
_space_group_IT_number 216
_space_group_name_Hall 'F -4 2 3'
loop_
_atom_site_label
_atom_site_type_symbol
_atom_site_fract_x
_atom_site_fract_y
_atom_site_fract_z
Y1 Y 0.0000 0.0000 0.0000
Lu1 Lu 0.0000 0.0000 0.5000
Tl1 Tl 0.2500 0.2500 0.2500
In1 In 0.2500 0.2500 0.7500
# Energy of formation (kJ/mol of atoms): -36
# Electronic total energy (eV/atom): -4.40